(1)
{
  "formula": "PuPaSnOs",
  "functional": "PBE-GGA",
  "state": "relaxed",
  "e_above_lowest_polymorph_ev_per_atom": 0.0000,
  "mass_density_g_cm3": 14.3,
  "space_group": "No. 99",
  "dft_energy_ev_per_cell": -40.20,
  "dos_ef_per_ev_atom": 2.1158,
  "vol_a3_per_atom": 22.730,
  "formation_energy_ev_per_atom": -0.28,
  "lattice_angstrom": [[3.2339, 0.0000, 0.0000], [0.0000, 3.2339, 0.0000], [0.0000, 0.0000, 8.6938]],
  "species": ["Pu", "Pa", "Sn", "Os"],
  "fractional_positions": [[0.0000, 0.0000, 0.0000], [0.0000, 0.0000, 0.5729], [0.5000, 0.5000, 0.2853], [0.5000, 0.5000, 0.7755]]
}

(2)
{
  "formula": "BeAlW2",
  "functional": "PBE-GGA",
  "state": "relaxed",
  "mass_density_g_cm3": 11.9,
  "space_group": "No. 123",
  "dft_energy_ev_per_cell": -32.50,
  "dos_ef_per_ev_atom": 0.5183,
  "vol_a3_per_atom": 14.080,
  "formation_energy_ev_per_atom": 0.22,
  "lattice_angstrom": [[3.1120, 0.0000, 0.0000], [0.0000, 3.1120, 0.0000], [0.0000, 0.0000, 5.8155]],
  "species": ["Be", "Al", "W", "W"],
  "fractional_positions": [[0.0000, 0.0000, 0.0000], [0.0000, 0.0000, 0.5000], [0.5000, 0.5000, 0.2093], [0.5000, 0.5000, 0.7907]]
}

(3)
{
  "formula": "LiThScSe3",
  "functional": "PBE-GGA",
  "state": "relaxed",
  "mass_density_g_cm3": 6.4,
  "space_group": "No. 11",
  "dft_energy_ev_per_cell": -70.06,
  "dos_ef_per_ev_atom": 0.4278,
  "vol_a3_per_atom": 22.629,
  "raw_formation_energy_mev_per_atom": -1485,
  "lattice_angstrom": [[8.2349, 0.0000, 0.0000], [0.0000, 3.8834, 0.0000], [-2.2260, 0.0000, 8.4915]],
  "species": ["Li", "Li", "Th", "Th", "Sc", "Sc", "Se", "Se", "Se", "Se", "Se", "Se"],
  "fractional_positions": [[0.0939, 0.2500, 0.0905], [0.9061, 0.7500, 0.9095], [0.1995, 0.2500, 0.7229], [0.8005, 0.7500, 0.2771], [0.3389, 0.7500, 0.3605], [0.6611, 0.2500, 0.6395], [0.0991, 0.2500, 0.3719], [0.2297, 0.7500, 0.9995], [0.4546, 0.7500, 0.6844], [0.5454, 0.2500, 0.3156], [0.7703, 0.2500, 0.0005], [0.9009, 0.7500, 0.6281]]
}

(4)
{
  "formula": "SrY3Ir",
  "functional": "PBE-GGA",
  "state": "relaxed",
  "e_above_lowest_polymorph_ev_per_atom": 2.0416,
  "mass_density_g_cm3": 6.2,
  "space_group": "No. 221",
  "dft_energy_ev_per_cell": -21.58,
  "dos_ef_per_ev_atom": 1.6151,
  "vol_a3_per_atom": 29.075,
  "formation_energy_ev_per_atom": 1.67,
  "lattice_angstrom": [[5.2581, 0.0000, 0.0000], [0.0000, 5.2581, 0.0000], [0.0000, 0.0000, 5.2581]],
  "species": ["Sr", "Y", "Y", "Y", "Ir"],
  "fractional_positions": [[0.0000, 0.0000, 0.0000], [0.0000, 0.0000, 0.5000], [0.0000, 0.5000, 0.0000], [0.5000, 0.0000, 0.0000], [0.5000, 0.5000, 0.5000]]
}